# 1
Material: Rb2YHfTe
Method: DFT, GGA-PBE
State: optimized geometry

Calculated values
Energy relative to the elements, uncorrected   883 meV per atom

abc: 7.2547 5.3970 7.2547
angles: 90.00 90.00 90.00
With the nearest neighbours (Å) after each atom.
Element x y z (fractional)
1 Y 0.5000 0.5000 0.5000  8 Rb 4.52
2 Te 0.0000 0.5000 0.0000  2 Hf 2.70
3 Rb 0.0000 0.0000 0.5000  2 Hf 3.63
4 Rb 0.5000 0.0000 0.0000  2 Hf 3.63
5 Hf 0.0000 0.0000 0.0000  2 Te 2.70

# 2
Material: LiTaPdPt
Method: DFT, GGA-PBE
State: optimized geometry

Calculated values
Excess energy over the best structure of this formula in the dataset   0.000 eV per atom

abc: 4.0477 4.0477 4.6684
angles: 115.68 115.69 90.00
With the nearest neighbours (Å) after each atom.
Element x y z (fractional)
1 Ta 0.5000 0.5000 0.0000  4 Pt 2.74, 4 Pd 2.74, 4 Li 2.86
2 Pt 0.2500 0.7500 0.5000  4 Li 2.74, 4 Ta 2.74, 4 Pd 2.86
3 Li 0.0000 0.0000 0.0000  4 Pt 2.74, 4 Pd 2.74, 4 Ta 2.86
4 Pd 0.7500 0.2500 0.5000  4 Ta 2.74, 4 Li 2.74, 4 Pt 2.86

# 3
Material: GdZrSc2
Method: DFT, GGA-PBE
State: optimized geometry

Calculated values
Excess energy over the best structure of this formula in the dataset   0.237 eV per atom

abc: 3.2108 3.2108 11.6867
angles: 82.10 82.10 60.00
With the nearest neighbours (Å) after each atom.
Element x y z (fractional)
1 Gd 0.5000 0.5000 0.5000  6 Gd 3.21, 6 Sc 3.34
2 Sc 0.9137 0.9137 0.2589  1 Zr 2.99, 6 Sc 3.21, 3 Gd 3.34
3 Sc 0.0863 0.0863 0.7411  1 Zr 2.99, 6 Sc 3.21, 3 Gd 3.34
4 Zr 0.0000 0.0000 0.0000  2 Sc 2.99, 6 Zr 3.21

# 4
Material: Sm2RhN
Method: DFT, GGA-PBE
State: optimized geometry

Calculated values
Energy relative to the elements, uncorrected   -887 meV per atom

abc: 3.5737 3.5737 7.3181
angles: 75.87 75.87 60.00
With the nearest neighbours (Å) after each atom.
Element x y z (fractional)
1 Sm 0.2354 0.2354 0.2939  3 N 2.52
2 Sm 0.7646 0.7646 0.7061  3 N 2.52
3 N 0.5000 0.5000 0.5000  6 Sm 2.52
4 Rh 0.0000 0.0000 0.0000  6 Sm 2.92

# 5
Material: Tb2BeAs
Method: DFT, GGA-PBE
State: optimized geometry

abc: 3.8911 3.8911 9.5234
angles: 78.21 78.21 60.00
With the nearest neighbours (Å) after each atom.
Element x y z (fractional)
1 Tb 0.1056 0.1056 0.6831  3 As 2.81, 1 Be 2.93
2 Tb 0.8944 0.8944 0.3169  3 As 2.81, 1 Be 2.93
3 As 0.5000 0.5000 0.5000  6 Tb 2.81
4 Be 0.0000 0.0000 0.0000  2 Tb 2.93

# 6
Material: Na7MgHg4
Method: DFT, GGA-PBE
State: optimized geometry

abc: 6.2043 8.0328 8.4587
angles: 81.77 95.12 54.82
With the nearest neighbours (Å) after each atom.
Element x y z (fractional)
1 Hg 0.0746 0.2012 0.2590  1 Mg 3.05, 6 Na 3.09-3.39, 1 Hg 3.23
2 Hg 0.5175 0.6417 0.2646  8 Na 3.13-3.48, 1 Mg 3.13, 1 Hg 3.23
3 Hg 0.9254 0.7988 0.7410  1 Mg 3.05, 6 Na 3.09-3.39, 1 Hg 3.23
4 Hg 0.4825 0.3583 0.7354  8 Na 3.13-3.48, 1 Mg 3.13, 1 Hg 3.23
5 Mg 0.0000 0.0000 0.0000  4 Hg 3.05-3.13, 2 Na 3.10
6 Na 0.3779 0.8289 0.5741  5 Hg 3.15-3.48, 2 Na 3.23-3.35
7 Na 0.6221 0.1711 0.4259  5 Hg 3.15-3.48, 2 Na 3.23-3.35
8 Na 0.0063 0.6798 0.3785  4 Hg 3.25-3.45, 6 Na 3.34-3.64
9 Na 0.5000 0.0000 0.0000  2 Mg 3.10, 2 Na 3.29, 4 Hg 3.33-3.39
10 Na 0.2838 0.4619 0.0631  4 Hg 3.09-3.37, 5 Na 3.23-3.44
11 Na 0.7162 0.5381 0.9369  4 Hg 3.09-3.37, 5 Na 3.23-3.44
12 Na 0.9937 0.3202 0.6215  4 Hg 3.25-3.45, 6 Na 3.34-3.64

# 7
Material: PmPr2DyY2
Method: DFT, GGA-PBE
State: optimized geometry

abc: 3.4345 6.7121 17.8595
angles: 90.00 90.00 90.00
With the nearest neighbours (Å) after each atom.
Element x y z (fractional)
1 Pm 0.5000 0.5000 0.5000  2 Pr 3.24, 2 Pm 3.43, 2 Y 3.56
2 Pm 0.0000 0.0000 0.0000  2 Pr 3.24, 2 Pm 3.43, 2 Y 3.56
3 Y 0.0000 0.7645 0.8215  4 Pr 3.36-3.50, 2 Y 3.43, 1 Pm 3.56
4 Y 0.0000 0.2355 0.1785  4 Pr 3.36-3.50, 2 Y 3.43, 1 Pm 3.56
5 Y 0.5000 0.2645 0.6785  4 Pr 3.36-3.50, 2 Y 3.43, 1 Pm 3.56
6 Y 0.5000 0.7355 0.3215  4 Pr 3.36-3.50, 2 Y 3.43, 1 Pm 3.56
7 Pr 0.5000 0.7695 0.6507  1 Pm 3.24, 4 Y 3.36-3.50, 2 Pr 3.43, 2 Dy 3.55
8 Pr 0.0000 0.2695 0.8493  1 Pm 3.24, 4 Y 3.36-3.50, 2 Pr 3.43, 2 Dy 3.55
9 Pr 0.5000 0.2305 0.3493  1 Pm 3.24, 4 Y 3.36-3.50, 2 Pr 3.43, 2 Dy 3.55
10 Pr 0.0000 0.7305 0.1507  1 Pm 3.24, 4 Y 3.36-3.50, 2 Pr 3.43, 2 Dy 3.55
11 Dy 0.5000 0.5000 0.0000  2 Dy 3.43, 4 Pr 3.55, 4 Pm 3.77
12 Dy 0.0000 0.0000 0.5000  2 Dy 3.43, 4 Pr 3.55, 4 Pm 3.77

# 8
Material: TlCdTe2O8
Method: DFT, GGA-PBE
State: optimized geometry

Calculated values
Energy relative to the elements, uncorrected   -744 meV per atom

abc: 6.3128 6.3128 6.3128
angles: 107.01 107.01 114.52
With the nearest neighbours (Å) after each atom.
Element x y z (fractional)
1 O 0.9267 0.2389 0.3122  1 Te 1.86
2 O 0.9267 0.6145 0.6878  1 Te 1.86
3 O 0.8693 0.6839 0.1854  1 Te 1.87
4 O 0.7611 0.0733 0.6878  1 Te 1.86
5 O 0.3161 0.1307 0.8146  1 Te 1.87
6 O 0.4984 0.6839 0.8146  1 Te 1.87
7 O 0.3161 0.5016 0.1854  1 Te 1.87
8 O 0.3855 0.0733 0.3122  1 Te 1.86
9 Te 0.5000 0.5000 0.0000  4 O 1.87
10 Te 0.7500 0.2500 0.5000  4 O 1.86
11 Cd 0.0000 0.0000 0.0000  8 O 2.40-2.57
12 Tl 0.2500 0.7500 0.5000  8 O 2.41-2.62

# 9
Material: Ge2TePS
Method: DFT, GGA-PBE
State: optimized geometry

Calculated values
Energy relative to the elements, uncorrected   834 meV per atom

abc: 4.9663 5.1424 4.9663
angles: 90.00 90.00 90.00
With the nearest neighbours (Å) after each atom.
Element x y z (fractional)
1 S 0.0000 0.0000 0.0000  4 Ge 2.48, 2 Te 2.57
2 Te 0.0000 0.5000 0.0000  2 S 2.57
3 P 0.5000 0.5000 0.5000  4 Te 3.51, 8 Ge 3.57
4 Ge 0.5000 0.0000 0.0000  2 S 2.48
5 Ge 0.0000 0.0000 0.5000  2 S 2.48

# 10
Material: Sc3Tl2Cd
Method: DFT, GGA-PBE
State: optimized geometry

Calculated values
Excess energy over the best structure of this formula in the dataset   0.000 eV per atom

abc: 5.0624 5.0624 12.3930
angles: 90.00 90.00 120.00
With the nearest neighbours (Å) after each atom.
Element x y z (fractional)
1 Sc 0.0000 0.0000 0.2510  5 Tl 3.07-3.11, 3 Cd 3.09
2 Sc 0.6667 0.3333 0.5807  4 Tl 3.04-3.09, 4 Cd 3.07-3.11
3 Sc 0.3333 0.6667 0.4193  4 Tl 3.04-3.09, 4 Cd 3.07-3.11
4 Sc 0.3333 0.6667 0.9177  7 Tl 3.10-3.18, 1 Cd 3.10
5 Sc 0.6667 0.3333 0.0823  7 Tl 3.10-3.18, 1 Cd 3.10
6 Sc 0.0000 0.0000 0.7490  5 Tl 3.07-3.11, 3 Cd 3.09
7 Tl 0.0000 0.0000 0.5000  8 Sc 3.09
8 Tl 0.6667 0.3333 0.8256  8 Sc 3.04-3.18
9 Tl 0.0000 0.0000 0.0000  8 Sc 3.10-3.11
10 Tl 0.3333 0.6667 0.1744  8 Sc 3.04-3.18
11 Cd 0.3333 0.6667 0.6674  8 Sc 3.07-3.11
12 Cd 0.6667 0.3333 0.3326  8 Sc 3.07-3.11

# 11
Material: NdSmSiBr
Method: DFT, GGA-PBE
State: optimized geometry

Calculated values
Energy relative to the elements, uncorrected   -1038 meV per atom

abc: 4.1890 4.1891 7.9605
angles: 90.00 105.25 120.00
With the nearest neighbours (Å) after each atom.
Element x y z (fractional)
1 Br 0.9626 0.3793 0.3571  3 Sm 3.23, 3 Nd 3.35
2 Nd 0.5001 0.1480 0.6633  3 Si 2.90
3 Sm 0.1076 0.9518 0.0747  3 Si 2.85
4 Si 0.3076 0.5518 0.8746  3 Sm 2.85, 3 Nd 2.90

# 12
Material: SrPt3C
Method: DFT, GGA-PBE
State: optimized geometry

Calculated values
Excess energy over the best structure of this formula in the dataset   0.000 eV per atom

abc: 4.3771 4.3771 4.3771
angles: 90.00 90.00 90.00
With the nearest neighbours (Å) after each atom.
Element x y z (fractional)
1 Pt 0.0000 0.5000 0.0000  2 C 2.19
2 Pt 0.0000 0.0000 0.5000  2 C 2.19
3 Pt 0.5000 0.0000 0.0000  2 C 2.19
4 C 0.0000 0.0000 0.0000  6 Pt 2.19
5 Sr 0.5000 0.5000 0.5000  12 Pt 3.10

Number 1: N(E_F) 12.2 states/eV/cell, calculated volume 284.0 Å³/cell, electronic total energy -3.42 eV per atom. Number 2: N(E_F) 1.2 states/eV/cell, calculated volume 60.4 Å³/cell, electronic total energy -6.74 eV per atom. Number 3: N(E_F) 5.7 states/eV/cell, calculated volume 103.0 Å³/cell, electronic total energy -8.54 eV per atom. Number 4: N(E_F) 2.3 states/eV/cell, calculated volume 77.7 Å³/cell, electronic total energy -7.17 eV per atom. Number 5: N(E_F) 5.0 states/eV/cell, calculated volume 121.3 Å³/cell, electronic total energy -4.28 eV per atom. Number 6: N(E_F) 4.3 states/eV/cell, calculated volume 333.3 Å³/cell, electronic total energy -1.14 eV per atom. Number 7: N(E_F) 18.6 states/eV/cell, calculated volume 411.7 Å³/cell, electronic total energy -5.06 eV per atom. Number 8: N(E_F) 3.1 states/eV/cell, calculated volume 192.5 Å³/cell, electronic total energy -4.85 eV per atom. Number 9: N(E_F) 3.0 states/eV/cell, calculated volume 126.8 Å³/cell, electronic total energy -3.55 eV per atom. Number 10: N(E_F) 11.7 states/eV/cell, calculated volume 275.1 Å³/cell, electronic total energy -4.39 eV per atom. Number 11: N(E_F) 2.6 states/eV/cell, calculated volume 115.3 Å³/cell, electronic total energy -5.18 eV per atom. Number 12: N(E_F) 4.9 states/eV/cell, calculated volume 83.9 Å³/cell, electronic total energy -5.84 eV per atom.